Entry 1:
Below is a geometry-optimized CsKRbIn structure, with properties calculated at the PBE level.

```
CsKRbIn
1.0
-2.075 -5.850 -2.675
4.399 -5.052 -0.904
-0.373 -5.537 3.859
Cs In K Rb
1 1 1 1
Direct
0.750 0.750 0.750 Cs
0.250 0.250 0.250 In
0.500 0.500 0.500 K
0.000 0.000 0.000 Rb
```

Summary:
* total energy: -1.335 eV per atom
* formation enthalpy at 0 K: 0.3 eV/f.u.
* D(E_F): 3.67 states/eV per cell

---

Entry 2:
Below is a geometry-optimized BaPdRu2 structure, with properties calculated at the PBE level.

```
BaPdRu2
1.0
0.000 3.394 3.394
3.394 0.000 3.394
3.394 3.394 0.000
Ru Pd Ba
2 1 1
Direct
0.750 0.750 0.750 Ru
0.250 0.250 0.250 Ru
0.000 0.000 0.000 Pd
0.500 0.500 0.500 Ba
```

Summary:
* total energy: -5.468 eV per atom
* formation enthalpy at 0 K: 3.8 eV/f.u.
* D(E_F): 4.26 states/eV per cell
* E above lowest polymorph: 1.36 eV per formula unit

---

Entry 3:
Below is a geometry-optimized MgScHg structure, with properties calculated at the PBE level.

```
MgScHg
1.0
3.356 0.000 0.000
1.678 2.902 0.001
0.001 -0.004 14.393
Mg Sc Hg
2 2 2
Direct
0.155 0.560 0.628 Mg
0.155 0.560 0.950 Mg
0.821 0.227 0.451 Sc
0.821 0.227 0.127 Sc
0.822 0.227 0.789 Hg
0.488 0.895 0.289 Hg
```

Summary:
* total energy: -2.856 eV per atom
* formation enthalpy at 0 K: -0.3 eV/f.u.
* D(E_F): 7.03 states/eV per cell